1.
Density functional theory data (GGA-PBE) for a geometry-optimized AcSm4Ho6 structure.

a = 7.952 Å, b = 7.952 Å, c = 8.465 Å
α = 118.02°, β = 118.02°, γ = 90.00°
Sites, in units of the cell vectors:
1 Ac 0.500 0.500 0.000
2 Sm 0.096 0.761 0.856
3 Sm 0.904 0.904 0.144
4 Sm 0.761 0.096 0.856
5 Sm 0.239 0.239 0.144
6 Ho 0.962 0.420 0.382
7 Ho 0.420 0.962 0.382
8 Ho 0.580 0.580 0.618
9 Ho 0.000 0.500 0.000
10 Ho 0.038 0.038 0.618
11 Ho 0.500 0.000 0.000

As for the raw total energy: -45.71 eV for the cell shown. Its space group is I-42m (121).

2.
Density functional theory data (GGA-PBE) for a geometry-optimized Ac2Sm5Ho6 structure.

a = 3.656 Å, b = 11.954 Å, c = 20.553 Å
α = 90.00°, β = 90.00°, γ = 90.00°
Sites, in units of the cell vectors:
1 Ac 0.000 0.335 0.277
2 Ac 0.000 0.665 0.723
3 Ac 0.000 0.835 0.223
4 Ac 0.000 0.165 0.777
5 Sm 0.500 0.299 0.447
6 Sm 0.500 0.701 0.553
7 Sm 0.500 0.799 0.053
8 Sm 0.500 0.201 0.947
9 Sm 0.500 0.596 0.284
10 Sm 0.500 0.404 0.716
11 Sm 0.500 0.096 0.216
12 Sm 0.500 0.904 0.784
13 Sm 0.500 0.500 0.000
14 Sm 0.500 0.000 0.500
15 Ho 0.000 0.072 0.361
16 Ho 0.000 0.928 0.639
17 Ho 0.000 0.572 0.139
18 Ho 0.000 0.428 0.861
19 Ho 0.500 0.316 0.119
20 Ho 0.500 0.684 0.881
21 Ho 0.500 0.816 0.381
22 Ho 0.500 0.184 0.619
23 Ho 0.000 0.561 0.426
24 Ho 0.000 0.439 0.574
25 Ho 0.000 0.061 0.074
26 Ho 0.000 0.939 0.926

As for the raw total energy: -115.63 eV for the cell shown. Its space group is Pbam (55).

3.
Density functional theory data (GGA-PBE) for a geometry-optimized AcSm3Ho12 structure.

a = 5.047 Å, b = 5.047 Å, c = 20.232 Å
α = 90.00°, β = 90.00°, γ = 90.00°
Sites, in units of the cell vectors:
1 Ac 0.000 0.000 0.000
2 Sm 0.000 0.000 0.748
3 Sm 0.000 0.000 0.500
4 Sm 0.000 0.000 0.252
5 Ho 0.500 0.500 0.000
6 Ho 0.500 0.500 0.747
7 Ho 0.500 0.500 0.500
8 Ho 0.500 0.500 0.253
9 Ho 0.500 0.000 0.623
10 Ho 0.500 0.000 0.130
11 Ho 0.500 0.000 0.870
12 Ho 0.500 0.000 0.377
13 Ho 0.000 0.500 0.623
14 Ho 0.000 0.500 0.130
15 Ho 0.000 0.500 0.870
16 Ho 0.000 0.500 0.377

As for the raw total energy: -72.68 eV for the cell shown. Its space group is P4/mmm (123).

4.
Density functional theory data (GGA-PBE) for a geometry-optimized Ac2Sm4Ho3 structure.

a = 3.706 Å, b = 3.706 Å, c = 27.127 Å
α = 90.00°, β = 90.00°, γ = 120.00°
Sites, in units of the cell vectors:
1 Ac 0.667 0.333 0.092
2 Ac 0.667 0.333 0.869
3 Sm 0.000 0.000 0.542
4 Sm 0.667 0.333 0.435
5 Sm 0.667 0.333 0.228
6 Sm 0.000 0.000 0.751
7 Ho 0.000 0.000 0.982
8 Ho 0.000 0.000 0.330
9 Ho 0.667 0.333 0.648

As for the raw total energy: -40.10 eV for the cell shown. Its space group is P3m1 (156).

5.
Density functional theory data (GGA-PBE) for a geometry-optimized AcSm12Ho6 structure.

a = 8.833 Å, b = 8.833 Å, c = 8.833 Å
α = 99.13°, β = 99.13°, γ = 99.13°
Sites, in units of the cell vectors:
1 Ac 0.000 0.000 0.000
2 Sm 0.759 0.241 0.500
3 Sm 0.355 0.080 0.355
4 Sm 0.355 0.355 0.080
5 Sm 0.920 0.645 0.645
6 Sm 0.645 0.645 0.920
7 Sm 0.645 0.920 0.645
8 Sm 0.500 0.759 0.241
9 Sm 0.241 0.500 0.759
10 Sm 0.241 0.759 0.500
11 Sm 0.500 0.241 0.759
12 Sm 0.759 0.500 0.241
13 Sm 0.080 0.355 0.355
14 Ho 0.896 0.344 0.896
15 Ho 0.896 0.896 0.344
16 Ho 0.344 0.896 0.896
17 Ho 0.104 0.104 0.656
18 Ho 0.104 0.656 0.104
19 Ho 0.656 0.104 0.104

As for the raw total energy: -84.43 eV for the cell shown. Its space group is R-3m (166).

6.
Density functional theory data (GGA-PBE) for a geometry-optimized AcSmHo2 structure.

a = 5.095 Å, b = 5.226 Å, c = 5.226 Å
α = 90.00°, β = 90.00°, γ = 90.00°
Sites, in units of the cell vectors:
1 Ac 0.500 0.500 0.500
2 Ho 0.000 0.000 0.500
3 Ho 0.000 0.500 0.000
4 Sm 0.500 0.000 0.000

As for the raw total energy: -17.77 eV for the cell shown. Its space group is P4/mmm (123).

7.
Density functional theory data (GGA-PBE) for a geometry-optimized AcSmHo2 structure.

a = 5.842 Å, b = 5.842 Å, c = 5.842 Å
α = 60.00°, β = 60.00°, γ = 60.00°
Sites, in units of the cell vectors:
1 Ac 0.000 0.000 0.000
2 Ho 0.250 0.250 0.250
3 Ho 0.750 0.750 0.750
4 Sm 0.500 0.500 0.500

As for the raw total energy: -17.51 eV for the cell shown. Its space group is Fm-3m (225).

8.
Density functional theory data (GGA-PBE) for a geometry-optimized AcSm10Ho4 structure.

a = 6.846 Å, b = 9.634 Å, c = 9.634 Å
α = 82.75°, β = 69.19°, γ = 69.19°
Sites, in units of the cell vectors:
1 Ac 0.000 0.000 0.000
2 Sm 0.250 0.500 0.500
3 Sm 0.623 0.420 0.838
4 Sm 0.957 0.162 0.420
5 Sm 0.539 0.838 0.580
6 Sm 0.881 0.580 0.162
7 Sm 0.377 0.580 0.162
8 Sm 0.750 0.500 0.500
9 Sm 0.119 0.420 0.838
10 Sm 0.461 0.162 0.420
11 Sm 0.043 0.838 0.580
12 Ho 0.433 0.888 0.247
13 Ho 0.679 0.753 0.888
14 Ho 0.321 0.247 0.112
15 Ho 0.567 0.112 0.753

As for the raw total energy: -62.17 eV for the cell shown. Its space group is I4/m (87).

no.,total magnetic moment (μB/f.u.),energy relative to the elements (eV per atom)
1,0.0,0.431
2,0.0,0.112
3,0.0,0.033
4,0.0,0.081
5,0.0,0.198
6,0.0,0.054
7,0.0,0.119
8,0.0,0.496